# LiCdAg2H

LiCdAg2H after structural relaxation (GGA-PBE, Alexandria).

## Properties
The value obtained for the total DFT energy (no corrections) is -12.08 eV per cell. Its symmetry is No. 123. The value obtained for the mass density is 7.6 g/cm³.

Cell lengths 4.2323, 4.2323, 4.1059 Å; angles 90.00, 90.00, 90.00 degrees
Last column: nearest neighbours and their distance in Å.
Element x y z (fractional)
Li: 0.0000 0.0000 0.0000  2 H 2.05
Cd: 0.5000 0.5000 0.0000  8 Ag 2.95, 4 Li 2.99
Ag: 0.0000 0.5000 0.5000  2 H 2.12
Ag: 0.5000 0.0000 0.5000  2 H 2.12
H: 0.0000 0.0000 0.5000  2 Li 2.05, 4 Ag 2.12